A relaxed LiTm4Tl5 crystal. Source: the Open Quantum Materials Database, functional PBE.

Structure (POSCAR):
```
LiTm4Tl5
1.0
3.5697 0.0000 0.0000
0.0000 3.5697 0.0000
0.0000 0.0000 19.9255
Li Tm Tl
1 4 5
direct
0.0000 0.0000 0.0000
0.0000 0.0000 0.1859
0.0000 0.0000 0.3950
0.0000 0.0000 0.6050
0.0000 0.0000 0.8141
0.5000 0.5000 0.0827
0.5000 0.5000 0.2904
0.5000 0.5000 0.5000
0.5000 0.5000 0.7096
0.5000 0.5000 0.9173
```

Output
total energy	-34.43	eV/cell
mass density	11.15	g cm⁻³


A relaxed LiTmTl crystal. Source: the Open Quantum Materials Database, functional PBE.

Structure (POSCAR):
```
LiTmTl
1.0
0.0000 3.2949 3.2949
3.2949 0.0000 3.2949
3.2949 3.2949 0.0000
Li Tm Tl
1 1 1
direct
0.0000 0.0000 0.0000
0.2500 0.2500 0.2500
0.7500 0.7500 0.7500
```

Output
E above lowest polymorph	0.0	kJ/mol of formula units
mass density	8.83	g cm⁻³